# 1
A relaxed Mg4Cd4Rh crystal. Source: Alexandria, functional PBE.

Properties
Total moment (μB per formula unit): 0.00
Energy of formation (eV/atom): -0.18
SG: I4/m (87)

The structure in POSCAR format:
```
Mg4Cd4Rh
1.0
-4.975 4.975 1.804
4.975 -4.975 1.804
4.975 4.975 -1.804
Mg Cd Rh
4 4 1
direct
0.150 0.849 0.999
0.151 0.150 0.302
0.849 0.850 0.698
0.850 0.151 0.001
0.172 0.501 0.673
0.499 0.172 0.671
0.501 0.828 0.329
0.828 0.499 0.327
0.500 0.500 0.000
```

---

# 2
A relaxed Pr6TlIn3 crystal. Source: Alexandria, functional PBE.

Properties
Total moment (μB per formula unit): 0.00
Energy of formation (eV/atom): -0.25
SG: P2_1/m (11)

The structure in POSCAR format:
```
Pr6TlIn3
1.0
11.938 0.000 0.000
0.000 3.792 0.000
-3.993 0.000 14.454
Pr Tl In
12 2 6
direct
0.017 0.250 0.188
0.110 0.750 0.420
0.233 0.250 0.829
0.326 0.250 0.270
0.355 0.250 0.630
0.358 0.750 0.034
0.642 0.250 0.966
0.645 0.750 0.370
0.674 0.750 0.730
0.767 0.750 0.171
0.890 0.250 0.580
0.983 0.750 0.812
0.459 0.750 0.824
0.541 0.250 0.176
0.118 0.250 0.006
0.120 0.750 0.642
0.400 0.750 0.457
0.600 0.250 0.543
0.880 0.250 0.358
0.882 0.750 0.994
```

---

# 3
A relaxed AlZnPd5 crystal. Source: Alexandria, functional PBE.

Properties
Total moment (μB per formula unit): 0.00
Energy of formation (eV/atom): -0.44
SG: P4/mmm (123)

The structure in POSCAR format:
```
AlZnPd5
1.0
4.144 0.000 0.000
0.000 4.144 0.000
0.000 0.000 6.431
Al Zn Pd
1 1 5
direct
0.000 0.000 0.000
0.500 0.500 0.500
0.000 0.000 0.500
0.000 0.500 0.222
0.000 0.500 0.778
0.500 0.000 0.222
0.500 0.000 0.778
```

---

# 4
A relaxed K3HoTh2Se6 crystal. Source: Alexandria, functional PBE.

Properties
Total moment (μB per formula unit): 0.00
SG: C2/m (12)
Energy relative to the elements, uncorrected (eV/atom): -1.60

The structure in POSCAR format:
```
K3HoTh2Se6
1.0
3.659 -6.338 0.000
3.659 6.338 0.000
-2.440 0.000 7.799
K Ho Th Se
3 1 2 6
direct
0.000 0.000 0.000
0.332 0.668 0.000
0.668 0.332 0.000
0.500 0.500 0.500
0.166 0.834 0.500
0.834 0.166 0.500
0.102 0.429 0.287
0.244 0.244 0.714
0.429 0.102 0.287
0.571 0.898 0.713
0.756 0.756 0.286
0.898 0.571 0.713
```

---

# 5
A relaxed YHo7In2 crystal. Source: Alexandria, functional PBE.

Properties
Total moment (μB per formula unit): 0.02
Energy of formation (eV/atom): 0.35
SG: Cmmm (65)

The structure in POSCAR format:
```
YHo7In2
1.0
4.545 -7.698 0.000
4.545 7.698 0.000
0.000 0.000 5.389
Y Ho In
1 7 2
direct
0.000 0.000 0.000
0.059 0.302 0.500
0.228 0.772 0.000
0.302 0.059 0.500
0.500 0.500 0.500
0.698 0.941 0.500
0.772 0.228 0.000
0.941 0.698 0.500
0.304 0.696 0.500
0.696 0.304 0.500
```

---

# 6
A relaxed MgMo2W crystal. Source: Alexandria, functional PBE.

Properties
Total moment (μB per formula unit): 0.00
Energy of formation (eV/atom): 0.43
SG: P4mm (99)

The structure in POSCAR format:
```
MgMo2W
1.0
2.668 0.000 0.000
0.000 2.668 0.000
0.000 0.000 9.396
Mg Mo W
1 2 1
direct
0.000 0.000 0.000
0.000 0.000 0.500
0.500 0.500 0.253
0.500 0.500 0.747
```

---

# 7
A relaxed BeTl2Cr crystal. Source: Alexandria, functional PBE.

Properties
Total moment (μB per formula unit): 3.55
Energy of formation (eV/atom): 0.74
SG: Pmmm (47)

The structure in POSCAR format:
```
BeTl2Cr
1.0
3.790 0.000 0.000
0.000 4.505 0.000
0.000 0.000 4.536
Be Tl Cr
1 2 1
direct
0.000 0.000 0.000
0.500 0.000 0.500
0.500 0.500 0.000
0.000 0.500 0.500
```

---

# 8
A relaxed KLi2Ir crystal. Source: Alexandria, functional PBE.

Properties
Total moment (μB per formula unit): 0.00
Energy of formation (eV/atom): 0.23
SG: P2/m (10)

The structure in POSCAR format:
```
KLi2Ir
1.0
2.637 0.000 0.000
0.000 4.344 0.000
-0.243 0.000 6.927
K Li Ir
1 2 1
direct
0.000 0.000 0.000
0.030 0.500 0.664
0.970 0.500 0.336
0.500 0.000 0.500
```

---

# 9
A relaxed BaTa4Mo crystal. Source: Alexandria, functional PBE.

Properties
Total moment (μB per formula unit): 0.00
Energy of formation (eV/atom): 0.88
SG: F-43m (216)

The structure in POSCAR format:
```
BaTa4Mo
1.0
0.000 3.983 3.983
3.983 0.000 3.983
3.983 3.983 0.000
Ba Ta Mo
1 4 1
direct
0.000 0.000 0.000
0.376 0.376 0.376
0.376 0.376 0.873
0.376 0.873 0.376
0.873 0.376 0.376
0.750 0.750 0.750
```

---

# 10
A relaxed ErMnBr crystal. Source: Alexandria, functional PBE.

Properties
Total moment (μB per formula unit): 0.00
SG: C2/m (12)
Energy relative to the elements, uncorrected (eV/atom): -0.91

The structure in POSCAR format:
```
ErMnBr
1.0
3.283 -1.893 0.000
3.283 1.893 0.000
-2.225 0.000 12.009
Er Mn Br
2 2 2
direct
0.058 0.058 0.173
0.942 0.942 0.827
0.336 0.336 0.007
0.664 0.664 0.993
0.221 0.221 0.667
0.779 0.779 0.333
```

---

# 11
A relaxed ScV2Mo crystal. Source: Alexandria, functional PBE.

Properties
Total moment (μB per formula unit): 0.00
Energy of formation (eV/atom): 0.59
SG: I-42d (122)

The structure in POSCAR format:
```
ScV2Mo
1.0
-3.506 3.506 2.773
3.506 -3.506 2.773
3.506 3.506 -2.773
Sc V Mo
2 4 2
direct
0.000 0.000 0.000
0.750 0.250 0.500
0.155 0.625 0.030
0.375 0.405 0.530
0.595 0.125 0.970
0.875 0.845 0.470
0.250 0.750 0.500
0.500 0.500 0.000
```

---

# 12
A relaxed TbCe2Ir crystal. Source: Alexandria, functional PBE.

Properties
Total moment (μB per formula unit): 0.01
Energy of formation (eV/atom): -0.27
SG: R3m (160)

The structure in POSCAR format:
```
TbCe2Ir
1.0
1.953 1.128 8.917
-1.953 1.128 8.917
0.000 -2.256 8.917
Tb Ce Ir
1 2 1
direct
0.000 0.000 0.000
0.562 0.562 0.562
0.771 0.771 0.771
0.166 0.166 0.166
```